Entry from OQMD via LeMat-Bulk: crystalline OsC2 at its relaxed geometry (PBE).

M_tot: 0.00 μB per formula unit
Offset from the most stable computed form: 0.0 meV per atom

```
OsC2
1.0
2.868 0.000 0.000
-1.434 2.484 0.000
0.000 0.000 4.013
Os C
1 2
direct
0.000 0.000 0.000
0.333 0.667 0.320
0.333 0.667 0.680
```